Crystalline TcGe5 at its relaxed geometry. Source: the Alexandria database, functional PBE.

DFT formation energy = 0.035 eV/atom
VASP energy = -66.48 eV per cell
space-group type = I4/mcm

Lattice parameters (Å, degrees): 6.4937 6.4937 6.8419 118.33 118.33 90.00
Fractional positions:
Ge (0.0047, 0.5047, 0.7192)
Ge (0.5047, 0.7145, 0.7192)
Ge (0.2145, 0.0047, 0.7192)
Ge (0.9953, 0.4953, 0.2808)
Ge (0.5000, 0.5000, 0.0000)
Ge (0.2855, 0.7855, 0.2808)
Ge (0.0000, 0.0000, 0.0000)
Ge (0.7855, 0.9953, 0.2808)
Ge (0.7145, 0.2145, 0.7192)
Ge (0.4953, 0.2855, 0.2808)
Tc (0.7500, 0.7500, 0.5000)
Tc (0.2500, 0.2500, 0.5000)